A relaxed structure of Y2MnTl, computed with PBE-GGA.

a b c (Å): 5.214 5.214 6.335
angles (deg): 78.47 78.47 40.37
Sites, in units of the cell vectors:
Tl 0.750 0.750 0.750
Y 0.996 0.996 0.010
Y 0.504 0.504 0.490
Mn 0.250 0.250 0.250

Results
Theoretical density ... 6.7 g/cm3
Fermi-level density of states ... 4.71 states/eV/cell
E_tot ... -5.964 eV/atom

=====

A relaxed structure of YMnTl, computed with PBE-GGA.

a b c (Å): 3.451 3.451 7.127
angles (deg): 90.00 90.00 120.00
Sites, in units of the cell vectors:
Y 0.333 0.667 0.686
Tl 0.667 0.333 0.309
Mn 0.000 0.000 0.004

Results
Theoretical density ... 7.9 g/cm3
Fermi-level density of states ... 3.02 states/eV/cell
E_tot ... -5.716 eV/atom

=====

A relaxed structure of Mn2TlZn, computed with PBE-GGA.

a b c (Å): 8.907 8.907 8.907
angles (deg): 19.64 19.64 19.64
Sites, in units of the cell vectors:
Tl 0.250 0.250 0.250
Mn 0.492 0.492 0.492
Mn 0.008 0.008 0.008
Zn 0.750 0.750 0.750

Results
Theoretical density ... 9.0 g/cm3
Fermi-level density of states ... 3.12 states/eV/cell
E_tot ... -5.054 eV/atom

=====

A relaxed structure of Mn3TlZn, computed with PBE-GGA.

a b c (Å): 5.166 5.166 5.166
angles (deg): 90.00 90.00 90.00
Sites, in units of the cell vectors:
Mn 0.500 0.000 0.000
Mn 0.000 0.500 0.000
Mn 0.000 0.000 0.500
Tl 0.000 0.000 0.000
Zn 0.500 0.500 0.500

Results
Theoretical density ... 5.2 g/cm3
Fermi-level density of states ... 4.77 states/eV/cell
Excess energy over the best structure of this formula in the dataset ... 521 meV/atom

=====

A relaxed structure of Mn2TlZn, computed with PBE-GGA.

a b c (Å): 3.896 3.013 6.330
angles (deg): 68.68 90.00 90.00
Sites, in units of the cell vectors:
Zn 0.500 0.632 0.800
Mn 0.500 0.302 0.225
Mn 0.000 0.980 0.990
Tl 0.000 0.586 0.484

Results
Theoretical density ... 9.1 g/cm3
Fermi-level density of states ... 2.63 states/eV/cell
E_tot ... -5.106 eV/atom

=====

A relaxed structure of Mn2TlZn, computed with PBE-GGA.

a b c (Å): 3.218 3.217 6.586
angles (deg): 90.00 90.00 90.00
Sites, in units of the cell vectors:
Tl 0.500 0.500 0.250
Mn 0.000 0.000 0.536
Mn 0.000 0.000 0.964
Zn 0.500 0.500 0.750

Results
Theoretical density ... 9.2 g/cm3
Fermi-level density of states ... 2.74 states/eV/cell
E_tot ... -5.164 eV/atom

=====

A relaxed structure of Mn2TlZn, computed with PBE-GGA.

a b c (Å): 3.826 3.826 9.557
angles (deg): 78.45 78.45 90.00
Sites, in units of the cell vectors:
Mn 0.375 0.478 0.750
Mn 0.875 0.772 0.750
Mn 0.522 0.125 0.250
Mn 0.228 0.625 0.250
Tl 0.750 0.250 0.500
Tl 0.000 0.000 0.000
Zn 0.250 0.750 0.500
Zn 0.500 0.500 0.000

Results
Theoretical density ... 9.4 g/cm3
Fermi-level density of states ... 8.44 states/eV/cell
E_tot ... -4.658 eV/atom

=====

A relaxed structure of Mn2TlZn2, computed with PBE-GGA.

a b c (Å): 7.566 7.566 2.979
angles (deg): 90.00 90.00 90.00
Sites, in units of the cell vectors:
Mn 0.371 0.871 0.000
Mn 0.129 0.371 0.000
Mn 0.871 0.629 0.000
Mn 0.629 0.129 0.000
Zn 0.666 0.834 0.500
Zn 0.166 0.666 0.500
Zn 0.834 0.334 0.500
Zn 0.334 0.166 0.500
Tl 0.500 0.500 0.000
Tl 0.000 0.000 0.000

Results
Theoretical density ... 8.7 g/cm3
Fermi-level density of states ... 8.70 states/eV/cell
E_tot ... -4.339 eV/atom

=====

A relaxed structure of Mn2TlZn, computed with PBE-GGA.

a b c (Å): 4.597 4.597 4.597
angles (deg): 60.00 60.00 60.00
Sites, in units of the cell vectors:
Mn 0.250 0.250 0.250
Mn 0.000 0.000 0.000
Tl 0.500 0.500 0.500
Zn 0.750 0.750 0.750

Results
Theoretical density ... 9.2 g/cm3
Fermi-level density of states ... 5.58 states/eV/cell
E_tot ... -4.957 eV/atom

=====

A relaxed structure of Mn2TlZn, computed with PBE-GGA.

a b c (Å): 3.127 4.976 5.690
angles (deg): 51.24 90.00 90.00
Sites, in units of the cell vectors:
Mn 0.000 0.000 0.000
Mn 0.500 0.500 0.000
Zn 0.000 0.000 0.500
Tl 0.500 0.500 0.500

Results
Theoretical density ... 9.1 g/cm3
Fermi-level density of states ... 3.75 states/eV/cell
E_tot ... -5.058 eV/atom

=====

A relaxed structure of Mn2TlZn, computed with PBE-GGA.

a b c (Å): 5.209 5.209 5.209
angles (deg): 136.12 136.12 63.80
Sites, in units of the cell vectors:
Zn 0.750 0.250 0.500
Mn 0.250 0.750 0.500
Mn 0.000 0.000 0.000
Tl 0.500 0.500 0.000

Results
Theoretical density ... 9.4 g/cm3
Fermi-level density of states ... 3.54 states/eV/cell
E_tot ... -5.104 eV/atom

=====

A relaxed structure of Mn4TlZn, computed with PBE-GGA.

a b c (Å): 4.903 4.903 4.903
angles (deg): 60.00 60.00 60.00
Sites, in units of the cell vectors:
Mn 0.374 0.878 0.374
Mn 0.374 0.374 0.374
Mn 0.878 0.374 0.374
Mn 0.374 0.374 0.878
Tl 0.750 0.750 0.750
Zn 0.000 0.000 0.000

Results
Theoretical density ... 9.8 g/cm3
Fermi-level density of states ... 8.72 states/eV/cell
E_tot ... -6.221 eV/atom

=====

A relaxed structure of MnTl4Zn, computed with PBE-GGA.

a b c (Å): 6.308 6.308 6.308
angles (deg): 60.00 60.00 60.00
Sites, in units of the cell vectors:
Tl 0.375 0.375 0.876
Tl 0.876 0.375 0.375
Tl 0.375 0.876 0.375
Tl 0.375 0.375 0.375
Mn 0.000 0.000 0.000
Zn 0.750 0.750 0.750

Results
Theoretical density ... 8.8 g/cm3
Fermi-level density of states ... 4.06 states/eV/cell
E_tot ... -2.723 eV/atom

=====

A relaxed structure of Mn2TlZn, computed with PBE-GGA.

a b c (Å): 4.658 4.658 5.407
angles (deg): 80.86 80.86 37.38
Sites, in units of the cell vectors:
Mn 0.994 0.994 0.037
Mn 0.506 0.506 0.463
Tl 0.750 0.750 0.750
Zn 0.250 0.250 0.250

Results
Theoretical density ... 9.0 g/cm3
Fermi-level density of states ... 2.53 states/eV/cell
E_tot ... -5.091 eV/atom

=====

A relaxed structure of Mn2TlZn, computed with PBE-GGA.

a b c (Å): 4.776 4.776 2.965
angles (deg): 90.00 90.00 106.58
Sites, in units of the cell vectors:
Mn 0.000 0.000 0.000
Mn 0.500 0.500 0.000
Zn 0.000 0.500 0.500
Tl 0.500 0.000 0.500

Results
Theoretical density ... 9.7 g/cm3
Fermi-level density of states ... 3.26 states/eV/cell
E_tot ... -5.108 eV/atom

=====

A relaxed structure of Mn3TlZn, computed with PBE-GGA.

a b c (Å): 4.665 4.665 4.665
angles (deg): 90.00 90.00 90.00
Sites, in units of the cell vectors:
Mn 0.000 0.000 0.500
Mn 0.500 0.000 0.000
Mn 0.000 0.500 0.000
Tl 0.500 0.500 0.500
Zn 0.000 0.000 0.000

Results
Theoretical density ... 7.1 g/cm3
Fermi-level density of states ... 4.21 states/eV/cell
Excess energy over the best structure of this formula in the dataset ... 0 meV/atom

=====

A relaxed structure of Mn2TlZn, computed with PBE-GGA.

a b c (Å): 8.853 8.853 8.853
angles (deg): 19.34 19.34 19.34
Sites, in units of the cell vectors:
Tl 0.505 0.505 0.505
Mn 0.263 0.263 0.263
Mn 0.995 0.995 0.995
Zn 0.737 0.737 0.737

Results
Theoretical density ... 9.5 g/cm3
Fermi-level density of states ... 3.16 states/eV/cell
E_tot ... -4.925 eV/atom

=====

A relaxed structure of Mn2TlZn, computed with PBE-GGA.

a b c (Å): 4.854 4.854 4.854
angles (deg): 130.83 130.73 72.16
Sites, in units of the cell vectors:
Mn 0.500 0.500 0.000
Mn 0.000 0.000 0.000
Zn 0.750 0.250 0.500
Tl 0.250 0.750 0.500

Results
Theoretical density ... 9.8 g/cm3
Fermi-level density of states ... 2.83 states/eV/cell
E_tot ... -5.156 eV/atom

=====

A relaxed structure of ZrMnTl2, computed with PBE-GGA.

a b c (Å): 3.645 3.646 6.769
angles (deg): 90.00 90.00 90.00
Sites, in units of the cell vectors:
Mn 0.500 0.500 0.710
Zr 0.000 0.000 0.539
Tl 0.000 0.000 0.981
Tl 0.500 0.500 0.270

Results
Theoretical density ... 10.2 g/cm3
Fermi-level density of states ... 3.01 states/eV/cell
Excess energy over the best structure of this formula in the dataset ... 65 meV/atom

=====

A relaxed structure of ZrMnTl2, computed with PBE-GGA.

a b c (Å): 3.181 4.001 6.706
angles (deg): 90.00 90.00 90.00
Sites, in units of the cell vectors:
Mn 0.500 0.500 0.750
Zr 0.500 0.500 0.250
Tl 0.000 0.000 0.517
Tl 0.000 0.000 0.983

Results
Theoretical density ... 10.8 g/cm3
Fermi-level density of states ... 3.83 states/eV/cell
Excess energy over the best structure of this formula in the dataset ... 87 meV/atom

=====

A relaxed structure of ZrMnTl, computed with PBE-GGA.

a b c (Å): 3.230 3.230 7.114
angles (deg): 90.00 90.00 120.00
Sites, in units of the cell vectors:
Mn 0.000 0.000 0.993
Tl 0.667 0.333 0.320
Zr 0.333 0.667 0.687

Results
Theoretical density ... 9.1 g/cm3
Fermi-level density of states ... 2.70 states/eV/cell
E_tot ... -6.405 eV/atom

=====

A relaxed structure of ZrMn2Tl2, computed with PBE-GGA.

a b c (Å): 7.367 7.367 7.367
angles (deg): 149.49 149.49 43.69
Sites, in units of the cell vectors:
Mn 0.250 0.750 0.500
Mn 0.750 0.250 0.500
Tl 0.391 0.391 0.000
Tl 0.609 0.609 0.000
Zr 0.000 0.000 0.000

Results
Theoretical density ... 9.9 g/cm3
Fermi-level density of states ... 4.45 states/eV/cell
E_tot ... -5.843 eV/atom

=====

A relaxed structure of ZrMn2Tl, computed with PBE-GGA.

a b c (Å): 4.736 4.736 4.736
angles (deg): 60.00 60.00 60.00
Sites, in units of the cell vectors:
Mn 0.250 0.250 0.250
Mn 0.000 0.000 0.000
Tl 0.500 0.500 0.500
Zr 0.750 0.750 0.750

Results
Theoretical density ... 9.0 g/cm3
Fermi-level density of states ... 4.19 states/eV/cell
Excess energy over the best structure of this formula in the dataset ... 146 meV/atom

=====

A relaxed structure of ZrMnTl, computed with PBE-GGA.

a b c (Å): 4.557 4.557 4.557
angles (deg): 60.00 60.00 60.00
Sites, in units of the cell vectors:
Tl 0.000 0.000 0.000
Mn 0.750 0.750 0.750
Zr 0.500 0.500 0.500

Results
Theoretical density ... 8.7 g/cm3
Fermi-level density of states ... 6.56 states/eV/cell
E_tot ... -6.234 eV/atom

=====

A relaxed structure of Zr2MnTl, computed with PBE-GGA.

a b c (Å): 3.206 3.189 8.433
angles (deg): 67.61 90.00 90.00
Sites, in units of the cell vectors:
Mn 0.500 0.250 0.250
Tl 0.500 0.750 0.750
Zr 0.000 0.947 0.051
Zr 0.000 0.553 0.449

Results
Theoretical density ... 9.2 g/cm3
Fermi-level density of states ... 2.74 states/eV/cell
E_tot ... -7.218 eV/atom

=====

A relaxed structure of Zr4MnTl, computed with PBE-GGA.

a b c (Å): 5.549 6.691 8.137
angles (deg): 90.00 67.69 90.00
Sites, in units of the cell vectors:
Zr 0.983 0.148 0.363
Zr 0.017 0.852 0.637
Zr 0.517 0.648 0.637
Zr 0.483 0.352 0.363
Zr 0.046 0.335 0.749
Zr 0.454 0.835 0.251
Zr 0.954 0.665 0.251
Zr 0.546 0.165 0.749
Mn 0.500 0.000 0.500
Mn 0.000 0.500 0.500
Tl 0.500 0.500 0.000
Tl 0.000 0.000 0.000

Results
Theoretical density ... 7.4 g/cm3
Fermi-level density of states ... 11.93 states/eV/cell
Excess energy over the best structure of this formula in the dataset ... 0 meV/atom

=====

A relaxed structure of ZrMnTl2, computed with PBE-GGA.

a b c (Å): 5.686 5.686 5.686
angles (deg): 135.90 135.90 64.13
Sites, in units of the cell vectors:
Tl 0.000 0.000 0.000
Tl 0.250 0.750 0.500
Zr 0.500 0.500 0.000
Mn 0.750 0.250 0.500

Results
Theoretical density ... 10.5 g/cm3
Fermi-level density of states ... 2.39 states/eV/cell
Excess energy over the best structure of this formula in the dataset ... 54 meV/atom

=====

A relaxed structure of ZrMnTl3, computed with PBE-GGA.

a b c (Å): 5.016 5.016 5.016
angles (deg): 90.00 90.00 90.00
Sites, in units of the cell vectors:
Zr 0.500 0.500 0.500
Tl 0.000 0.000 0.500
Tl 0.000 0.500 0.000
Tl 0.500 0.000 0.000
Mn 0.000 0.000 0.000

Results
Theoretical density ... 10.0 g/cm3
Fermi-level density of states ... 8.02 states/eV/cell
E_tot ... -4.093 eV/atom

=====

A relaxed structure of Zr2MnTl, computed with PBE-GGA.

a b c (Å): 5.559 5.559 5.559
angles (deg): 135.54 135.54 64.69
Sites, in units of the cell vectors:
Zr 0.250 0.750 0.500
Zr 0.000 0.000 0.000
Mn 0.500 0.500 0.000
Tl 0.750 0.250 0.500

Results
Theoretical density ... 8.8 g/cm3
Fermi-level density of states ... 4.26 states/eV/cell
E_tot ... -7.059 eV/atom